Here is crystalline NiTeRhI2 at its relaxed geometry from the Alexandria database. Energies are from GGA-PBE.

```
NiTeRhI2
1.0
-4.517 0.040 -2.626
1.684 -3.964 -2.957
-1.926 -3.252 3.263
I Te Rh Ni
2 1 1 1
Cartesian
0.842 -1.982 -1.479
-2.258 0.020 -1.313
-0.963 -1.626 1.631
-2.379 -3.588 -1.160
0.000 0.000 0.000
```

Size of the total moment = 1.63 μB per formula unit
E_form (uncorrected) = 815 meV/atom
Volume = 27.26 A^3/atom
Raw total energy = -3.060 eV per atom

=====

Here is crystalline TaCoAg2 at its relaxed geometry from the Alexandria database. Energies are from GGA-PBE.

```
TaCoAg2
1.0
5.169 0.052 0.061
2.033 4.752 -0.061
-3.091 -3.166 2.672
Ta Co Ag
1 1 2
Cartesian
1.516 2.157 1.306
3.470 2.315 0.000
0.029 0.019 0.000
2.697 -0.451 1.367
```

Size of the total moment = 0.00 μB per formula unit
Formation enthalpy at 0 K = 0.348 eV/atom
Volume = 16.22 A^3/atom
Raw total energy = -5.817 eV per atom

=====

Here is crystalline La8Ge3SbI4 at its relaxed geometry from the Alexandria database. Energies are from GGA-PBE.

```
La8Ge3SbI4
1.0
-6.900 0.766 5.781
0.941 -8.984 2.313
7.143 5.481 0.741
La Ge I Sb
8 3 4 1
Cartesian
-1.280 0.771 5.429
2.464 -3.509 3.406
-1.060 -3.182 6.215
-1.396 -2.215 2.311
2.581 -0.523 6.524
2.244 0.444 2.620
5.879 -0.889 3.760
-4.695 -1.849 5.075
-2.980 -4.109 4.047
4.042 -1.752 1.527
0.592 -1.369 4.417
3.572 2.740 0.370
0.000 0.000 0.000
0.122 3.123 3.261
-3.450 0.383 2.891
0.470 -4.492 1.156
```

Size of the total moment = 0.00 μB per formula unit
E_form (uncorrected) = -1129 meV/atom
Volume = 34.15 A^3/atom
Raw total energy = -5.103 eV per atom